Here is an optimized crystal structure of TcPRu2 from Alexandria. Energies are from PBE.

Results
DFT formation energy (kcal/mol of atoms): 5.67
Final energy (eV per atom): -8.336

a = 3.8541 Å, b = 3.8541 Å, c = 3.7157 Å
α = 90.00°, β = 90.00°, γ = 90.00°
Space group P4/mmm (No. 123)
Unique sites:
Tc  0.0000  0.0000  0.0000 x1
P  0.5000  0.5000  0.0000 x1
Ru  0.0000  0.5000  0.5000 x2